No. 1
Material: Si3Ni5Pt2
Method: DFT, PBE
State: optimized geometry

## Properties
symmetry = Cmc2_1 (36)
size of the total moment = 0.00 μB per formula unit
total energy = -6.23 eV/atom

```
Si3Ni5Pt2
1.0
3.589 0.000 -0.611
0.000 6.241 0.000
0.044 0.000 11.096
Ni Pt Si
10 4 6
Direct
0.708 0.383 0.417 Ni
0.126 0.258 0.252 Ni
0.293 0.484 0.586 Ni
0.598 0.905 0.197 Ni
0.874 0.758 0.748 Ni
0.055 0.636 0.110 Ni
0.945 0.136 0.890 Ni
0.292 0.883 0.583 Ni
0.707 0.984 0.414 Ni
0.402 0.405 0.803 Ni
0.822 0.186 0.644 Pt
0.472 0.793 0.944 Pt
0.178 0.686 0.356 Pt
0.528 0.293 0.056 Pt
0.043 0.009 0.085 Si
0.232 0.182 0.463 Si
0.957 0.509 0.915 Si
0.386 0.029 0.772 Si
0.614 0.529 0.228 Si
0.768 0.682 0.537 Si
```

No. 2
Material: Sm2SiNiPt6
Method: DFT, PBE
State: optimized geometry

## Properties
symmetry = C2/m (12)
size of the total moment = 0.00 μB per formula unit
total energy = -6.49 eV/atom

```
Sm2SiNiPt6
1.0
-4.164 3.333 -1.153
-4.076 -6.268 -3.395
-5.803 -2.223 1.618
Si Pt Sm Ni
1 6 2 1
Direct
0.500 0.500 0.000 Si
0.743 0.250 0.021 Pt
0.250 0.393 0.501 Pt
0.236 0.249 0.021 Pt
0.257 0.750 0.979 Pt
0.750 0.607 0.499 Pt
0.764 0.751 0.979 Pt
0.733 0.202 0.534 Sm
0.267 0.798 0.466 Sm
0.000 0.000 0.000 Ni
```

No. 3
Material: Sm3Si6Ni2Pt
Method: DFT, PBE
State: optimized geometry

## Properties
symmetry = P-3m1 (164)
size of the total moment = 0.00 μB per formula unit
total energy = -5.74 eV/atom

```
Sm3Si6Ni2Pt
1.0
-4.511 0.136 -3.570
5.298 -0.824 -2.089
-0.892 -7.836 0.828
Ni Sm Si Pt
2 3 6 1
Direct
0.333 0.667 0.050 Ni
0.667 0.333 0.950 Ni
0.333 0.667 0.625 Sm
0.000 0.000 0.000 Sm
0.667 0.333 0.375 Sm
0.192 0.808 0.285 Si
0.192 0.384 0.285 Si
0.384 0.192 0.715 Si
0.808 0.616 0.715 Si
0.616 0.808 0.285 Si
0.808 0.192 0.715 Si
0.000 0.000 0.500 Pt
```

No. 4
Material: Sm2Si3NiPt4
Method: DFT, PBE
State: optimized geometry

## Properties
symmetry = P-4m2 (115)
size of the total moment = 0.00 μB per formula unit
total energy = -6.57 eV/atom

```
Sm2Si3NiPt4
1.0
-0.521 -1.728 -3.814
-2.741 -2.765 1.627
-7.474 6.324 -1.844
Si Ni Sm Pt
3 1 2 4
Direct
0.000 0.500 0.132 Si
0.500 0.000 0.868 Si
0.000 0.000 0.500 Si
0.500 0.500 0.500 Ni
0.000 0.500 0.738 Sm
0.500 0.000 0.262 Sm
0.500 0.000 0.632 Pt
0.500 0.500 0.000 Pt
0.000 0.000 0.000 Pt
0.000 0.500 0.368 Pt
```

No. 5
Material: Sm2Si4Ni3Pt
Method: DFT, PBE
State: optimized geometry

## Properties
symmetry = P-4m2 (115)
size of the total moment = 0.00 μB per formula unit
total energy = -6.35 eV/atom

```
Sm2Si4Ni3Pt
1.0
4.047 0.000 0.000
0.000 4.047 0.000
0.000 0.000 9.709
Si Ni Sm Pt
4 3 2 1
Direct
0.500 0.500 0.000 Si
0.000 0.500 0.361 Si
0.500 0.000 0.639 Si
0.000 0.000 0.000 Si
0.000 0.500 0.120 Ni
0.000 0.000 0.500 Ni
0.500 0.000 0.880 Ni
0.500 0.000 0.242 Sm
0.000 0.500 0.758 Sm
0.500 0.500 0.500 Pt
```

No. 6
Material: SmSi2NiPt5
Method: DFT, PBE
State: optimized geometry

## Properties
symmetry = P4/mmm (123)
size of the total moment = 0.14 μB per formula unit
total energy = -6.31 eV/atom

```
SmSi2NiPt5
1.0
-0.074 3.557 -2.001
0.288 -1.992 -3.552
-10.125 -0.511 -0.535
Pt Si Ni Sm
5 2 1 1
Direct
0.500 0.000 0.151 Pt
0.000 0.500 0.151 Pt
0.500 0.500 0.500 Pt
0.500 0.000 0.849 Pt
0.000 0.500 0.849 Pt
0.500 0.500 0.732 Si
0.500 0.500 0.268 Si
0.000 0.000 0.000 Ni
0.000 0.000 0.500 Sm
```

No. 7
Material: Sr2Si3NiPt12
Method: DFT, PBE
State: optimized geometry

## Properties
symmetry = R-3m (166)
size of the total moment = 0.01 μB per formula unit
total energy = -5.78 eV/atom

```
Sr2Si3NiPt12
1.0
7.832 -0.173 -0.123
3.717 6.896 -0.123
3.717 2.164 6.549
Sr Pt Si Ni
2 12 3 1
Direct
0.618 0.618 0.618 Sr
0.382 0.382 0.382 Sr
0.883 0.365 0.883 Pt
0.635 0.117 0.117 Pt
0.100 0.646 0.646 Pt
0.900 0.354 0.354 Pt
0.354 0.354 0.900 Pt
0.646 0.100 0.646 Pt
0.365 0.883 0.883 Pt
0.883 0.883 0.365 Pt
0.354 0.900 0.354 Pt
0.117 0.117 0.635 Pt
0.117 0.635 0.117 Pt
0.646 0.646 0.100 Pt
0.000 0.500 0.000 Si
0.500 0.000 0.000 Si
0.000 0.000 0.500 Si
0.000 0.000 0.000 Ni
```

No. 8
Material: Sr2Si4NiPt3
Method: DFT, PBE
State: optimized geometry

## Properties
symmetry = P-4m2 (115)
size of the total moment = 0.00 μB per formula unit
total energy = -5.73 eV/atom

```
Sr2Si4NiPt3
1.0
-0.204 -4.121 1.074
2.113 -1.031 -3.556
8.708 0.853 4.926
Sr Si Pt Ni
2 4 3 1
Direct
0.000 0.500 0.750 Sr
0.500 0.000 0.250 Sr
0.500 0.500 0.000 Si
0.500 0.000 0.620 Si
0.000 0.500 0.380 Si
0.000 0.000 0.000 Si
0.000 0.500 0.125 Pt
0.000 0.000 0.500 Pt
0.500 0.000 0.875 Pt
0.500 0.500 0.500 Ni
```

| no. | ΔE_f (raw) (meV/atom) |
| --- | --- |
| 1 | -501.8 |
| 2 | -797.9 |
| 3 | -380.5 |
| 4 | -1000.6 |
| 5 | -903.3 |
| 6 | -585.9 |
| 7 | -345.3 |
| 8 | -836.4 |